A relaxed structure of Ce2Ga4Cu3Rh, computed with PBE-GGA.

Properties
Final energy (eV/atom): -4.833
DOS(E_F) (states/eV/cell): 13.84
Total moment (μB/f.u.): 1.63
Formation energy from the elements (meV/atom): -471

Lattice parameters (Å, degrees): 4.2214 4.2214 10.1003 90.00 90.00 90.00
Last column: nearest neighbours and their distance in Å.
Positions (direct):
Ga (0.5000, 0.5000, 0.0000)  4 Cu 2.49
Ga (0.0000, 0.5000, 0.3683)  3 Cu 2.41-2.49, 2 Rh 2.49
Ga (0.0000, 0.0000, 0.0000)  4 Cu 2.49
Ga (0.5000, 0.0000, 0.6317)  3 Cu 2.41-2.49, 2 Rh 2.49
Ce (0.0000, 0.5000, 0.7486)  8 Ga 3.21-3.30, 6 Cu 3.23-3.28, 2 Rh 3.28
Ce (0.5000, 0.0000, 0.2514)  8 Ga 3.21-3.30, 6 Cu 3.23-3.28, 2 Rh 3.28
Cu (0.5000, 0.0000, 0.8700)  5 Ga 2.41-2.49
Cu (0.0000, 0.5000, 0.1300)  5 Ga 2.41-2.49
Cu (0.0000, 0.0000, 0.5000)  4 Ga 2.49
Rh (0.5000, 0.5000, 0.5000)  4 Ga 2.49